Fe3TeO: relaxed, GGA+U.

```
Fe3TeO
1.0
-1.510 3.149 -2.501
-1.065 -2.889 -2.995
-3.878 -0.433 1.796
Fe Te O
3 1 1
Direct
0.000 0.500 0.000
0.500 0.000 0.000
0.000 0.000 0.500
0.500 0.500 0.500
0.000 0.000 0.000
```

calculated volume = 15.85 Å³/atom
size of the total moment = 10.2 μB/cell
offset from the most stable computed form = 0 meV per atom
raw total energy = -5.066 eV per atom
space-group type = Pm-3m